Density functional theory data (PBE) for a geometry-optimized InPt2Br structure.

Geometry as POSCAR:
```
InPt2Br
1.0
-5.419 -2.874 1.920
-2.201 -4.173 4.365
-3.977 -0.377 5.035
Pt In Br
2 1 1
direct
0.993 0.993 0.993 Pt
0.274 0.274 0.274 Pt
0.718 0.718 0.718 In
0.514 0.514 0.514 Br
```

## Properties
density = 10.48 g/cm3
energy relative to the elements, uncorrected = -0.0064 eV/atom
magnetization = 0.00 μB/f.u.
final energy = -16.5 eV for the cell shown